No. 1
# Na3HfO

A relaxed Na3HfO crystal (PBE-GGA, Alexandria).

a = 4.7496 Å, b = 4.7496 Å, c = 4.7496 Å
α = 90.00°, β = 90.00°, γ = 90.00°
Space group Pm-3m (No. 221)
One atom of each set of equivalent atoms:
Na  0.0000  0.0000  0.5000 [3 per cell]
Hf  0.5000  0.5000  0.5000 [1 per cell]
O  0.0000  0.0000  0.0000 [1 per cell]

Summary:
The crystal system is cubic. The density of states at the Fermi level comes out at 0.67 states/eV per atom. The formation energy (no corrections) comes out at 0.27 eV/atom.

=====

No. 2
# NaHf2O

A relaxed NaHf2O crystal (PBE-GGA, Alexandria).

a = 6.6558 Å, b = 6.6558 Å, c = 8.1894 Å
α = 90.00°, β = 90.00°, γ = 90.00°
Space group I-42d (No. 122)
One atom of each set of equivalent atoms:
Na  0.0000  0.0000  0.0000 [4 per cell]
Hf  0.0966  0.2500  0.6250 [8 per cell]
O  0.0000  0.0000  0.5000 [4 per cell]

Summary:
The crystal system is tetragonal. The density of states at the Fermi level comes out at 0.69 states/eV per atom. The formation energy (no corrections) comes out at -0.61 eV/atom.

=====

No. 3
# NaHf2O4

A relaxed NaHf2O4 crystal (PBE-GGA, Alexandria).

a = 6.4976 Å, b = 6.4976 Å, c = 9.1560 Å
α = 90.00°, β = 90.00°, γ = 90.00°
Space group I4_1/amd (No. 141, origin choice 2)
One atom of each set of equivalent atoms:
Na  0.0000  0.2500  0.3750 [4 per cell]
Hf  0.0000  0.0000  0.0000 [8 per cell]
O  0.0000  0.0362  0.7671 [16 per cell]

Summary:
The crystal system is tetragonal. The density of states at the Fermi level comes out at 0.35 states/eV per atom. The formation energy (no corrections) comes out at -2.92 eV/atom.

=====

No. 4
# Na3Hf5O12

A relaxed Na3Hf5O12 crystal (PBE-GGA, Alexandria).

a = 13.3521 Å, b = 13.3521 Å, c = 13.3521 Å
α = 90.00°, β = 90.00°, γ = 90.00°
Space group Ia-3d (No. 230)
One atom of each set of equivalent atoms:
Na  0.0000  0.2500  0.1250 [24 per cell]
Hf  0.0000  0.0000  0.0000 [16 per cell]
Hf  0.0000  0.2500  0.3750 [24 per cell]
O  0.0339  0.0467  0.6453 [96 per cell]

Summary:
The crystal system is cubic. The density of states at the Fermi level comes out at 0.84 states/eV per atom. The formation energy (no corrections) comes out at -2.89 eV/atom.

=====

No. 5
# Na2Hf2O5

A relaxed Na2Hf2O5 crystal (PBE-GGA, Alexandria).

a = 3.9875 Å, b = 3.9875 Å, c = 8.1002 Å
α = 90.00°, β = 90.00°, γ = 90.00°
Space group P4/mmm (No. 123)
One atom of each set of equivalent atoms:
Na  0.0000  0.0000  0.0000 [1 per cell]
Na  0.0000  0.0000  0.5000 [1 per cell]
Hf  0.5000  0.5000  0.2457 [2 per cell]
O  0.0000  0.5000  0.2974 [4 per cell]
O  0.5000  0.5000  0.0000 [1 per cell]

Summary:
The crystal system is tetragonal. The density of states at the Fermi level comes out at 0.00 states/eV per atom. The formation energy (no corrections) comes out at -2.78 eV/atom.

=====

No. 6
# Na5HfO4

A relaxed Na5HfO4 crystal (PBE-GGA, Alexandria).

a = 14.3955 Å, b = 3.3165 Å, c = 6.7188 Å
α = 90.00°, β = 99.89°, γ = 90.00°
Space group C2/m (No. 12)
One atom of each set of equivalent atoms:
Na  0.0000  0.0000  0.0000 [2 per cell]
Na  0.1597  0.5000  0.8000 [4 per cell]
Na  0.1772  0.5000  0.3622 [4 per cell]
Hf  0.0000  0.0000  0.5000 [2 per cell]
O  0.0053  0.5000  0.2885 [4 per cell]
O  0.1459  0.0000  0.5705 [4 per cell]

Summary:
The crystal system is monoclinic. The density of states at the Fermi level comes out at 0.14 states/eV per atom. The formation energy (no corrections) comes out at -1.87 eV/atom.

=====

> Number 3 is which compound?

NaHf2O4

=====

> Which value of density of states at the Fermi level does entry 4 give?

0.84 states/eV per atom